Version A
6
Lattice="5.108 0.000 0.000 0.000 5.108 0.000 0.000 0.000 8.789" Properties=species:S:1:pos:R:3 comment="AcHoTh | the Alexandria database | PBE-GGA | relaxed" crystal_system=tetragonal dos_at_fermi_per_ev_cell=8.779 pbc="T T T"
Ac 1.277 1.277 1.633
Ac 3.831 3.831 7.156
Ho 1.277 1.277 6.661
Ho 3.831 3.831 2.128
Th 1.277 3.831 4.395
Th 3.831 1.277 4.395

Version B
3
Lattice="3.692 0.000 0.000 -1.846 3.198 0.000 0.000 0.000 9.037" Properties=species:S:1:pos:R:3 comment="AcHoTh | the Alexandria database | PBE-GGA | relaxed" crystal_system=trigonal dos_at_fermi_per_ev_cell=4.605 pbc="T T T"
Ac 0.000 0.000 0.000
Ho 1.846 1.066 3.187
Th 0.000 2.132 5.981

Version C
3
Lattice="-1.855 1.855 7.795 1.855 -1.855 7.795 1.855 1.855 -7.795" Properties=species:S:1:pos:R:3 comment="AcHoTh | the Alexandria database | PBE-GGA | relaxed" crystal_system=tetragonal dos_at_fermi_per_ev_cell=5.049 pbc="T T T"
Ac 0.000 0.000 0.000
Ho 0.000 0.000 10.654
Th 0.000 0.000 5.179

Most stable structure: version C

Version A
4
Lattice="1.952 1.127 11.477 -1.952 1.127 11.477 0.000 -2.254 11.477" Properties=species:S:1:pos:R:3 comment="Ac2HoTl | the Alexandria database | PBE-GGA | relaxed" crystal_system=trigonal dos_at_fermi_per_ev_cell=6.185 pbc="T T T"
Ac 0.000 0.000 0.000
Ac 0.000 0.000 5.961
Ho 0.000 0.000 14.460
Tl 0.000 0.000 20.197

Version B
4
Lattice="0.000 4.167 4.167 4.167 0.000 4.167 4.167 4.167 0.000" Properties=species:S:1:pos:R:3 comment="Ac2HoTl | the Alexandria database | PBE-GGA | relaxed" crystal_system=cubic dos_at_fermi_per_ev_cell=7.476 pbc="T T T"
Ac 2.084 2.084 2.084
Ac 6.251 6.251 6.251
Ho 0.000 0.000 0.000
Tl 4.167 4.167 4.167

Version C
4
Lattice="5.215 0.000 0.000 0.000 5.215 0.000 0.000 0.000 5.191" Properties=species:S:1:pos:R:3 comment="Ac2HoTl | the Alexandria database | PBE-GGA | relaxed" crystal_system=tetragonal dos_at_fermi_per_ev_cell=6.943 pbc="T T T"
Ac 0.000 2.607 0.000
Ac 2.607 0.000 0.000
Ho 0.000 0.000 2.595
Tl 2.607 2.607 2.595

Version D
4
Lattice="1.901 1.097 12.877 -1.901 1.097 12.877 0.000 -2.195 12.877" Properties=species:S:1:pos:R:3 comment="Ac2HoTl | the Alexandria database | PBE-GGA | relaxed" crystal_system=trigonal dos_at_fermi_per_ev_cell=4.513 pbc="T T T"
Ac 0.000 0.000 3.470
Ac 0.000 0.000 35.161
Ho 0.000 0.000 19.315
Tl 0.000 0.000 0.000

Most stable structure: version C

Version A
20
Lattice="8.396 0.000 0.000 0.000 8.396 0.000 0.000 0.000 9.999" Properties=species:S:1:pos:R:3 comment="Ac2HoTl2 | the Alexandria database | PBE-GGA | relaxed" crystal_system=tetragonal dos_at_fermi_per_ev_cell=29.758 pbc="T T T"
Ac 1.429 2.771 0.000
Ac 1.426 2.768 4.999
Ac 2.771 6.966 0.000
Ac 2.768 6.969 4.999
Ac 5.624 1.429 0.000
Ac 5.627 1.426 4.999
Ac 6.966 5.624 0.000
Ac 6.969 5.627 4.999
Ho 0.000 0.000 2.495
Ho 0.000 0.000 7.504
Ho 4.198 4.198 2.505
Ho 4.198 4.198 7.494
Tl 1.108 5.305 2.500
Tl 1.108 5.305 7.499
Tl 3.090 1.108 2.500
Tl 3.090 1.108 7.499
Tl 5.305 7.288 2.500
Tl 5.305 7.288 7.499
Tl 7.288 3.090 2.500
Tl 7.288 3.090 7.499

Version B
5
Lattice="-2.488 3.565 5.015 2.488 -3.565 5.015 2.488 3.565 -5.015" Properties=species:S:1:pos:R:3 comment="Ac2HoTl2 | the Alexandria database | PBE-GGA | relaxed" crystal_system=orthorhombic dos_at_fermi_per_ev_cell=5.905 pbc="T T T"
Ac 0.000 0.000 1.967
Ac 0.000 0.000 8.062
Ho 0.000 3.565 0.000
Tl 2.488 1.630 0.000
Tl 0.000 1.935 5.015

Most stable structure: version A

Version A
8
Lattice="3.964 0.000 0.000 0.000 3.964 0.000 0.000 0.000 16.845" Properties=species:S:1:pos:R:3 comment="Ac3HoTl4 | the Alexandria database | PBE-GGA | relaxed" crystal_system=tetragonal dos_at_fermi_per_ev_cell=6.794 pbc="T T T"
Ac 0.000 0.000 0.000
Ac 0.000 0.000 4.446
Ac 0.000 0.000 12.399
Ho 0.000 0.000 8.422
Tl 1.982 1.982 2.242
Tl 1.982 1.982 6.687
Tl 1.982 1.982 10.157
Tl 1.982 1.982 14.602

Version B
8
Lattice="-2.419 3.916 7.962 2.419 -3.916 7.962 2.419 3.916 -7.962" Properties=species:S:1:pos:R:3 comment="Ac3HoTl4 | the Alexandria database | PBE-GGA | relaxed" crystal_system=orthorhombic dos_at_fermi_per_ev_cell=6.487 pbc="T T T"
Ac 0.000 0.000 0.000
Ac 2.419 0.000 4.960
Ac 0.000 3.916 3.002
Ho 0.000 0.000 7.962
Tl 2.419 1.585 -1.948
Tl 2.419 1.585 1.948
Tl 0.000 2.330 6.014
Tl 0.000 2.330 9.910

Most stable structure: version A